A plane-wave DFT calculation with PBE-GGA was carried out for crystalline DyTmGaNi at its relaxed geometry.

Lattice parameters (Å, degrees): 6.9257 6.9257 6.9257 90.00 90.00 90.00
Space group F-43m (No. 216)
Asymmetric unit:
Dy 0.0000 0.0000 0.0000 x4
Tm 0.0000 0.0000 0.5000 x4
Ga 0.2500 0.2500 0.7500 x4
Ni 0.2500 0.2500 0.2500 x4

Output
Energy above the most stable polymorph in this dataset: 0.045 eV per atom
N(E_F): 0.90 states/eV/atom